# 1
Crystalline BaTl3Cr at its relaxed geometry, computed with PBE.

abc: 5.314 5.314 5.314
angles: 90.00 90.00 90.00
Last column: magnetic moment on the atom in μB.
Sites, in units of the cell vectors:
Cr 0.000 0.000 0.000  1.83
Tl 0.000 0.500 0.000  -0.07
Tl 0.000 0.000 0.500  -0.03
Tl 0.500 0.000 0.000  -0.10
Ba 0.500 0.500 0.500  -0.12

Calculated values
relative energy among the computed polymorphs = 0 meV per atom
space-group type = Pm-3m
ΔE_f = 0.0619 eV per atom

***

# 2
Crystalline DyTm2ReO8 at its relaxed geometry, computed with PBE.

abc: 4.996 4.993 6.690
angles: 90.00 90.00 90.53
Sites, in units of the cell vectors:
Dy 0.000 0.000 0.500
Tm 0.500 0.500 0.747
Tm 0.500 0.500 0.253
Re 0.000 0.000 0.000
O 0.184 0.816 0.208
O 0.729 0.729 0.000
O 0.816 0.184 0.208
O 0.816 0.184 0.792
O 0.271 0.271 0.000
O 0.184 0.816 0.792
O 0.691 0.691 0.500
O 0.309 0.309 0.500

Calculated values
space-group type = Cmmm
formation energy (no corrections) = -2.83 eV per atom

***

# 3
Crystalline Sr2YBi2 at its relaxed geometry, computed with PBE.

abc: 8.705 8.705 4.744
angles: 90.00 90.00 90.00
Last column: magnetic moment on the atom in μB.
Sites, in units of the cell vectors:
Y 0.000 0.000 0.000  0.24
Y 0.500 0.500 0.000  0.24
Sr 0.147 0.647 0.500  0.03
Sr 0.647 0.853 0.500  0.03
Sr 0.853 0.353 0.500  0.03
Sr 0.353 0.147 0.500  0.03
Bi 0.339 0.839 0.000  0.01
Bi 0.839 0.661 0.000  0.01
Bi 0.661 0.161 0.000  0.01
Bi 0.161 0.339 0.000  0.01

Calculated values
relative energy among the computed polymorphs = 0 meV per atom
space-group type = P4/mbm
ΔE_f = -0.7453 eV per atom

***

# 4
Crystalline Tm2LuRh at its relaxed geometry, computed with PBE.

abc: 3.456 3.456 8.366
angles: 90.00 90.00 90.00
Sites, in units of the cell vectors:
Rh 0.500 0.500 0.000
Lu 0.500 0.500 0.500
Tm 0.000 0.000 0.808
Tm 0.000 0.000 0.192

Calculated values
relative energy among the computed polymorphs = 0 meV per atom
space-group type = P4/mmm
ΔE_f = -0.4388 eV per atom

***

| no. | VASP energy (eV/atom) |
| --- | --- |
| 1 | -3.67 |
| 2 | -8.30 |
| 3 | -4.26 |
| 4 | -5.64 |